VASP calculation (PBE) on a geometry-optimized TcNi2Cl structure.

Values from the calculation:
- Total magnetization: 0.2317 μB/atom
- Energy above the lowest structure with this stoichiometry: 207 meV per atom
- E: -22.18 eV per formula unit

```
data_TcNi2Cl
_cell_length_a 2.7345
_cell_length_b 3.8434
_cell_length_c 12.0843
_cell_angle_alpha 90.00
_cell_angle_beta 90.00
_cell_angle_gamma 90.00
_space_group_name_H-M_alt 'I m m 2'
_space_group_IT_number 44
loop_
_space_group_symop_operation_xyz
'x,y,z'
'-x,-y,z'
'-x,y,z'
'x,-y,z'
'x+1/2,y+1/2,z+1/2'
'-x+1/2,-y+1/2,z+1/2'
'-x+1/2,y+1/2,z+1/2'
'x+1/2,-y+1/2,z+1/2'
loop_
_atom_site_label
_atom_site_fract_x
_atom_site_fract_y
_atom_site_fract_z
Tc1 0.0000 0.0000 0.0000
Ni1 0.0000 0.0000 0.4335
Ni2 0.0000 0.5000 0.3186
Cl1 0.0000 0.5000 0.6689
```